(1)
First-principles (SCAN) data for a crystal of Sr2HgW relaxed with PBEsol, as listed in Alexandria via LeMat-Bulk.

Cell lengths 10.972, 10.972, 10.972 Å; angles 17.29, 17.29, 17.29 degrees
Fractional positions:
Sr 0.246 0.246 0.246
Sr 0.754 0.754 0.754
Hg 0.000 0.000 0.000
W 0.500 0.500 0.500

space-group type = R-3m, No. 166
energy of formation = 0.93 eV per atom
mass density = 9133 kg/m³

=====

(2)
First-principles (SCAN) data for a crystal of NaGaAs2Se relaxed with PBEsol, as listed in Alexandria via LeMat-Bulk.

Cell lengths 4.876, 4.876, 5.177 Å; angles 90.00, 90.00, 90.00 degrees
Fractional positions:
Na 0.000 0.000 0.000
Ga 0.500 0.500 0.500
As 0.000 0.500 0.500
As 0.500 0.000 0.500
Se 0.500 0.500 0.000

ΔE_f (raw) = 1.219 eV per formula unit
space-group type = P4/mmm, No. 123
mass density = 4337 kg/m³

=====

(3)
First-principles (SCAN) data for a crystal of Be2NiSb relaxed with PBEsol, as listed in Alexandria via LeMat-Bulk.

Cell lengths 4.498, 4.498, 4.498 Å; angles 131.58, 131.58, 70.89 degrees
Fractional positions:
Be 0.250 0.750 0.500
Be 0.750 0.250 0.500
Ni 0.000 0.000 0.000
Sb 0.500 0.500 0.000

ΔE_f (raw) = 0.783 eV per formula unit
space-group type = I4/mmm, No. 139
mass density = 6609 kg/m³

=====

(4)
First-principles (SCAN) data for a crystal of MnFePb2I relaxed with PBEsol, as listed in Alexandria via LeMat-Bulk.

Cell lengths 5.054, 5.054, 4.861 Å; angles 90.00, 90.00, 90.00 degrees
Fractional positions:
Mn 0.000 0.000 0.000
Fe 0.000 0.000 0.500
Pb 0.000 0.500 0.500
Pb 0.500 0.000 0.500
I 0.500 0.500 0.000

ΔE_f (raw) = 1.554 eV per formula unit
space-group type = P4/mmm, No. 123
mass density = 8722 kg/m³

=====

(5)
First-principles (SCAN) data for a crystal of CoTc2Ir2 relaxed with PBEsol, as listed in Alexandria via LeMat-Bulk.

Cell lengths 6.844, 6.844, 6.844 Å; angles 151.06, 151.06, 41.39 degrees
Fractional positions:
Co 0.000 0.000 0.000
Tc 0.250 0.750 0.500
Tc 0.750 0.250 0.500
Ir 0.404 0.404 0.000
Ir 0.596 0.596 0.000

space-group type = I4/mmm, No. 139
energy of formation = 0.41 eV per atom
mass density = 14174 kg/m³

=====

(6)
First-principles (SCAN) data for a crystal of Ta4Rh relaxed with PBEsol, as listed in Alexandria via LeMat-Bulk.

Cell lengths 5.301, 5.301, 5.301 Å; angles 95.56, 95.56, 143.74 degrees
Fractional positions:
Ta 0.099 0.299 0.398
Ta 0.299 0.901 0.200
Ta 0.701 0.099 0.800
Ta 0.901 0.701 0.602
Rh 0.500 0.500 0.000

space-group type = I4/m, No. 87
energy of formation = -0.27 eV per atom
mass density = 16400 kg/m³

=====

(7)
First-principles (SCAN) data for a crystal of IrS2 relaxed with PBEsol, as listed in Alexandria via LeMat-Bulk.

Cell lengths 11.764, 3.570, 4.707 Å; angles 90.00, 90.00, 90.00 degrees
Fractional positions:
Ir 0.135 0.250 0.029
Ir 0.365 0.750 0.529
Ir 0.635 0.250 0.471
Ir 0.865 0.750 0.971
S 0.052 0.750 0.766
S 0.191 0.750 0.308
S 0.309 0.250 0.808
S 0.448 0.250 0.266
S 0.552 0.750 0.734
S 0.691 0.750 0.192
S 0.809 0.250 0.692
S 0.948 0.250 0.234

ΔE_f (raw) = -1.374 eV per formula unit
space-group type = Pnma, No. 62
mass density = 8615 kg/m³

=====

(8)
First-principles (SCAN) data for a crystal of CrAu3 relaxed with PBEsol, as listed in Alexandria via LeMat-Bulk.

Cell lengths 4.717, 5.600, 4.943 Å; angles 90.00, 90.00, 90.00 degrees
Fractional positions:
Cr 0.250 0.250 0.162
Cr 0.750 0.750 0.838
Au 0.250 0.000 0.666
Au 0.250 0.500 0.666
Au 0.250 0.750 0.158
Au 0.750 0.000 0.334
Au 0.750 0.250 0.842
Au 0.750 0.500 0.334

space-group type = Pmmn, No. 59
energy of formation = -0.14 eV per atom
mass density = 16352 kg/m³

=====

Look up the mass density of the fourth one. 8722 kg/m³